Compound: Tb2CoSi4Pd
Source: the Open Quantum Materials Database
Functional: GGA-PBE
Structure: optimized geometry

POSCAR file:
```
Tb2CoSi4Pd
1.0
4.082 0.000 0.000
0.000 2.034 8.297
0.000 -2.034 8.297
Tb Co Si Pd
2 1 4 1
Direct
0.000 0.000 0.000
0.500 0.207 0.207
0.000 0.782 0.782
0.000 0.345 0.345
0.000 0.647 0.647
0.500 0.570 0.570
0.500 0.843 0.843
0.500 0.427 0.427
```

Theoretical density in g cm⁻³: 7.18
SG: No. 38
Volume in Å³ per atom: 17.22
Magnetization in μB per formula unit: 0.002
Final energy in eV per atom: -6.2193

---

Compound: TbCoSi2Pd
Source: the Open Quantum Materials Database
Functional: GGA-PBE
Structure: optimized geometry

POSCAR file:
```
TbCoSi2Pd
1.0
-2.009 2.009 4.961
2.009 -2.009 4.961
2.009 2.009 -4.961
Tb Co Si Pd
1 1 2 1
Direct
0.000 0.000 0.000
0.250 0.750 0.500
0.380 0.380 0.000
0.620 0.620 0.000
0.750 0.250 0.500
```

Theoretical density in g cm⁻³: 7.89
SG: No. 119
Volume in Å³ per atom: 16.01
Magnetization in μB per formula unit: 0.097
Final energy in eV per atom: -6.3758

---

Compound: Tm2CoSi4Pd
Source: the Open Quantum Materials Database
Functional: GGA-PBE
Structure: optimized geometry

POSCAR file:
```
Tm2CoSi4Pd
1.0
4.032 0.000 0.000
0.000 1.986 8.355
0.000 -1.986 8.355
Tm Co Si Pd
2 1 4 1
Direct
0.000 0.000 0.000
0.500 0.205 0.205
0.500 0.427 0.427
0.000 0.364 0.364
0.000 0.636 0.636
0.500 0.560 0.560
0.500 0.862 0.862
0.000 0.777 0.777
```

Theoretical density in g cm⁻³: 7.64
SG: No. 38
Volume in Å³ per atom: 16.72
Magnetization in μB per formula unit: 0.008
Final energy in eV per atom: -6.1461

---

Compound: CoSiPdW
Source: the Open Quantum Materials Database
Functional: GGA-PBE
Structure: optimized geometry

POSCAR file:
```
CoSiPdW
1.0
0.000 3.005 3.005
3.005 0.000 3.005
3.005 3.005 0.000
Co Si Pd W
1 1 1 1
Direct
0.000 0.000 0.000
0.750 0.750 0.750
0.250 0.250 0.250
0.500 0.500 0.500
```

Theoretical density in g cm⁻³: 11.54
SG: No. 216
Volume in Å³ per atom: 13.57
Magnetization in μB per formula unit: 0.010
Final energy in eV per atom: -7.6094

---

Compound: CoSiPdW
Source: the Open Quantum Materials Database
Functional: GGA-PBE
Structure: optimized geometry

POSCAR file:
```
CoSiPdW
1.0
0.000 3.011 3.011
3.011 0.000 3.011
3.011 3.011 0.000
Co Si Pd W
1 1 1 1
Direct
0.000 0.000 0.000
0.750 0.750 0.750
0.500 0.500 0.500
0.250 0.250 0.250
```

Theoretical density in g cm⁻³: 11.47
SG: No. 216
Volume in Å³ per atom: 13.65
Magnetization in μB per formula unit: 0.329
Final energy in eV per atom: -7.4882

---

Compound: ZnCoSiPd
Source: the Open Quantum Materials Database
Functional: GGA-PBE
Structure: optimized geometry

POSCAR file:
```
ZnCoSiPd
1.0
0.000 2.942 2.942
2.942 0.000 2.942
2.942 2.942 0.000
Zn Co Si Pd
1 1 1 1
Direct
0.000 0.000 0.000
0.750 0.750 0.750
0.500 0.500 0.500
0.250 0.250 0.250
```

Theoretical density in g cm⁻³: 8.44
SG: No. 216
Volume in Å³ per atom: 12.73
Magnetization in μB per formula unit: 0.821
Final energy in eV per atom: -5.0460

---

Compound: ZnCoSiPd
Source: the Open Quantum Materials Database
Functional: GGA-PBE
Structure: optimized geometry

POSCAR file:
```
ZnCoSiPd
1.0
0.000 2.969 2.969
2.969 0.000 2.969
2.969 2.969 0.000
Zn Co Si Pd
1 1 1 1
Direct
0.000 0.000 0.000
0.500 0.500 0.500
0.250 0.250 0.250
0.750 0.750 0.750
```

Theoretical density in g cm⁻³: 8.22
SG: No. 216
Volume in Å³ per atom: 13.08
Magnetization in μB per formula unit: 0.504
Final energy in eV per atom: -4.8061

---

Compound: SmCoPd
Source: the Open Quantum Materials Database
Functional: GGA-PBE
Structure: optimized geometry

POSCAR file:
```
SmCoPd
1.0
0.000 3.182 3.182
3.182 0.000 3.182
3.182 3.182 0.000
Sm Co Pd
1 1 1
Direct
0.000 0.000 0.000
0.750 0.750 0.750
0.250 0.250 0.250
```

Theoretical density in g cm⁻³: 8.13
SG: No. 216
Volume in Å³ per atom: 21.48
DFT formation energy in eV per formula unit: 1.2
Magnetization in μB per formula unit: 0.196
Final energy in eV per atom: -5.2660

---

Compound: SmCoPd
Source: the Open Quantum Materials Database
Functional: GGA-PBE
Structure: optimized geometry

POSCAR file:
```
SmCoPd
1.0
0.000 3.228 3.228
3.228 0.000 3.228
3.228 3.228 0.000
Sm Co Pd
1 1 1
Direct
0.000 0.000 0.000
0.500 0.500 0.500
0.250 0.250 0.250
```

Theoretical density in g cm⁻³: 7.80
SG: No. 216
Volume in Å³ per atom: 22.42
DFT formation energy in eV per formula unit: 0.1
Magnetization in μB per formula unit: 1.566
Final energy in eV per atom: -5.6306

---

Compound: Co4SnPd3
Source: the Open Quantum Materials Database
Functional: GGA-PBE
Structure: optimized geometry

POSCAR file:
```
Co4SnPd3
1.0
5.420 0.000 0.000
-2.710 4.694 0.000
0.000 0.000 17.440
Co Sn Pd
16 4 12
Direct
0.000 0.000 0.000
0.000 0.000 0.328
0.004 0.502 0.325
0.015 0.507 0.000
0.164 0.329 0.219
0.164 0.836 0.219
0.333 0.667 0.108
0.335 0.168 0.106
0.493 0.507 0.000
0.493 0.985 0.000
0.498 0.502 0.325
0.498 0.996 0.325
0.667 0.333 0.219
0.671 0.836 0.219
0.832 0.168 0.106
0.832 0.665 0.106
0.000 0.000 0.593
0.333 0.667 0.733
0.667 0.333 0.456
0.667 0.333 0.871
0.000 0.500 0.593
0.166 0.331 0.873
0.166 0.834 0.873
0.167 0.335 0.451
0.167 0.833 0.451
0.333 0.167 0.732
0.500 0.000 0.593
0.500 0.500 0.593
0.665 0.833 0.451
0.669 0.834 0.873
0.833 0.167 0.732
0.833 0.667 0.732
```

Theoretical density in g cm⁻³: 10.08
SG: No. 156
Volume in Å³ per atom: 13.87
Magnetization in μB per formula unit: 7.056
Final energy in eV per atom: -6.0842

---

Compound: CoSnPd2
Source: the Open Quantum Materials Database
Functional: GGA-PBE
Structure: optimized geometry

POSCAR file:
```
CoSnPd2
1.0
3.956 0.000 0.000
0.000 3.956 0.000
0.000 0.000 7.912
Co Sn Pd
2 2 4
Direct
0.000 0.500 0.000
0.500 0.000 0.000
0.000 0.000 0.239
0.000 0.000 0.761
0.000 0.500 0.500
0.500 0.000 0.500
0.500 0.500 0.234
0.500 0.500 0.766
```

Theoretical density in g cm⁻³: 10.47
SG: No. 123
Volume in Å³ per atom: 15.48
Magnetization in μB per formula unit: 1.147
Final energy in eV per atom: -5.6215

---

Compound: Co11Sn3Pd10
Source: the Open Quantum Materials Database
Functional: GGA-PBE
Structure: optimized geometry

POSCAR file:
```
Co11Sn3Pd10
1.0
3.967 0.000 0.000
0.000 3.967 0.000
0.000 0.000 21.217
Co Sn Pd
11 3 10
Direct
0.000 0.000 0.000
0.000 0.000 0.133
0.000 0.000 0.270
0.000 0.500 0.066
0.000 0.500 0.199
0.000 0.500 0.935
0.500 0.000 0.066
0.500 0.000 0.199
0.500 0.000 0.935
0.500 0.500 0.133
0.500 0.500 0.999
0.000 0.000 0.459
0.000 0.000 0.652
0.000 0.000 0.844
0.000 0.500 0.363
0.000 0.500 0.556
0.000 0.500 0.749
0.500 0.000 0.363
0.500 0.000 0.556
0.500 0.000 0.749
0.500 0.500 0.275
0.500 0.500 0.460
0.500 0.500 0.653
0.500 0.500 0.848
```

Theoretical density in g cm⁻³: 10.29
SG: No. 99
Volume in Å³ per atom: 13.91
Magnetization in μB per formula unit: 19.367
Final energy in eV per atom: -6.0785